A relaxed structure of Ca2InSi. Source: Alexandria via LeMat-Bulk, functional GGA-PBEsol.

```
Ca2InSi
1.0
3.664 0.000 0.000
0.000 5.181 0.000
0.000 0.000 5.181
In Ca Si
1 2 1
Cartesian
1.832 2.590 2.590
0.000 0.000 2.590
0.000 2.590 0.000
1.832 0.000 0.000
```

Results
- DOS(E_F) (states/eV per atom) = 0.3797
- total DFT energy (no corrections) (eV for the cell shown) = -14.469
- space group = P4/mmm (123)
- size of the total moment (μB per cell) = 0.0

A relaxed structure of Cd2NiAg. Source: Alexandria via LeMat-Bulk, functional GGA-PBEsol.

```
Cd2NiAg
1.0
-2.233 -1.416 1.443
2.381 -3.923 -0.164
2.014 1.049 4.145
Cd Ag Ni
2 1 1
Cartesian
0.146 0.076 0.301
2.542 -1.258 2.699
0.449 -2.474 1.411
0.032 -0.110 3.086
```

Results
- formation enthalpy at 0 K (eV/atom) = 0.0361
- DOS(E_F) (states/eV per atom) = 0.4736
- total DFT energy (no corrections) (eV for the cell shown) = -11.718
- space group = Pmm2 (25)
- size of the total moment (μB per cell) = 0.0

Which of these has the lowest total DFT energy (no corrections)? Ca2InSi

The highest total DFT energy (no corrections) belongs to which entry? Cd2NiAg